A relaxed structure of LiVRh2, computed with PBE.

Summary:
relative energy among the computed polymorphs: 140 meV/atom
ΔE_f: -1.101 eV/f.u.
magnetic moment: 0.00 μB/f.u.
volume: 13.780 A^3/atom

a b c (Å): 2.7258 2.7258 25.6974
angles (deg): 90.00 90.00 120.00
Space group R-3m (No. 166, hexagonal axes)
Unique sites:
Li: 0.0000 0.0000 0.0000 x3
V: 0.0000 0.0000 0.5000 x3
Rh: 0.0000 0.0000 0.2471 x6



A relaxed structure of Li2Ga2Cl7, computed with PBE.

Summary:
relative energy among the computed polymorphs: 0 meV/atom
magnetic moment: 0.76 μB/f.u.
ΔE_f (raw): -1.240 eV per atom
volume: 27.584 A^3/atom

a b c (Å): 6.556 12.587 7.571
angles (deg): 90.00 103.76 90.00
Space group P2_1/c (No. 14)
Unique sites:
Li: 0.202 0.193 0.318 x4
Ga: 0.314 0.603 0.676 x4
Cl: 0.032 0.704 0.523 x4
Cl: 0.192 0.002 0.368 x4
Cl: 0.455 0.224 0.660 x4
Cl: 0.500 0.000 0.000 x2